Record 1
InGaCl2: optimized geometry, GGA-PBE.

Values from the calculation:
The spin magnetization is 0.000 μB per atom. The energy relative to the lowest polymorph listed for this composition is 0.066 eV per atom.

a = 3.737 Å, b = 3.737 Å, c = 7.541 Å
α = 90.00°, β = 90.00°, γ = 90.00°
Positions (direct):
In  0.000  0.000  0.000
Ga  0.000  0.000  0.500
Cl  0.500  0.500  0.262
Cl  0.500  0.500  0.738

Record 2
InGaCl2: optimized geometry, GGA-PBE.

Values from the calculation:
The spin magnetization is 0.000 μB per atom. The energy relative to the lowest polymorph listed for this composition is 0.030 eV per atom.

a = 8.005 Å, b = 8.005 Å, c = 8.005 Å
α = 31.18°, β = 31.18°, γ = 31.18°
Positions (direct):
In  0.000  0.000  0.000
Ga  0.833  0.833  0.833
Cl  0.241  0.241  0.241
Cl  0.419  0.419  0.419

Record 3
In5GaCl8: optimized geometry, GGA-PBE.

Values from the calculation:
The spin magnetization is 0.000 μB per atom. The value obtained for the total energy is -3.18 eV/atom.

a = 9.009 Å, b = 9.009 Å, c = 9.009 Å
α = 119.98°, β = 119.98°, γ = 90.04°
Positions (direct):
In  0.000  0.000  0.000
In  0.120  0.375  0.749
In  0.625  0.374  0.744
In  0.626  0.370  0.251
In  0.630  0.880  0.256
Ga  0.250  0.750  0.500
Cl  0.345  0.050  0.695
Cl  0.350  0.655  0.705
Cl  0.355  0.650  0.305
Cl  0.423  0.139  0.281
Cl  0.857  0.577  0.716
Cl  0.858  0.143  0.719
Cl  0.861  0.142  0.284
Cl  0.950  0.645  0.295

- spin magnetization of number 2 (InGaCl2)?
  0.000 μB per atom